Entry 1:
# B2PtAu2 PBE relaxed
# Crystal system   tetragonal
# Energy relative to the elements   0.30 eV/atom
# Energy above the lowest structure with this stoichiometry   0.0000 eV/atom
# V   13.60 Å³ per atom
# Magnetization   0.000 μB per cell
data_B2PtAu2
_chemical_formula_sum 'B4 Pt2 Au4'
_cell_length_a 5.643
_cell_length_b 5.643
_cell_length_c 4.272
_cell_angle_alpha 90.00
_cell_angle_beta 90.00
_cell_angle_gamma 90.00
_space_group_name_H-M_alt 'P 4/m b m'
_space_group_IT_number 127
_space_group_name_Hall '-P 4 2ab'
loop_
_atom_site_label
_atom_site_fract_x
_atom_site_fract_y
_atom_site_fract_z
_atom_site_occupancy
B1 0.105 0.395 0.000 1
Pt1 0.000 0.000 0.000 1
Au1 0.195 0.305 0.500 1

Entry 2:
# BPtAu PBE relaxed
# Crystal system   monoclinic
# Energy relative to the elements   0.03 eV/atom
# V   14.28 Å³ per atom
# Magnetization   0.000 μB per cell
data_BPtAu
_chemical_formula_sum 'B2 Pt2 Au2'
_cell_length_a 5.400
_cell_length_b 3.159
_cell_length_c 5.356
_cell_angle_alpha 90.00
_cell_angle_beta 110.36
_cell_angle_gamma 90.00
_space_group_name_H-M_alt 'C 1 m 1'
_space_group_IT_number 8
loop_
_space_group_symop_operation_xyz
'x,y,z'
'x,-y,z'
'x+1/2,y+1/2,z'
'x+1/2,-y+1/2,z'
loop_
_atom_site_label
_atom_site_fract_x
_atom_site_fract_y
_atom_site_fract_z
_atom_site_occupancy
B1 0.000 0.000 0.000 1
Pt1 0.236 0.500 0.209 1
Au1 0.058 0.500 0.668 1

Entry 3:
# BPt3Au PBE relaxed
# Crystal system   hexagonal
# Energy relative to the elements   0.17 eV/atom
# Energy above the lowest structure with this stoichiometry   0.3569 eV/atom
# V   17.08 Å³ per atom
# Magnetization   0.000 μB per cell
data_BPt3Au
_chemical_formula_sum 'B2 Pt6 Au2'
_cell_length_a 3.5826
_cell_length_b 3.5826
_cell_length_c 15.3633
_cell_angle_alpha 90.00
_cell_angle_beta 90.00
_cell_angle_gamma 120.00
_space_group_name_H-M_alt 'P 63/m m c'
_space_group_IT_number 194
_space_group_name_Hall '-P 6c 2c'
loop_
_atom_site_label
_atom_site_fract_x
_atom_site_fract_y
_atom_site_fract_z
_atom_site_occupancy
B1 0.3333 0.6667 0.2500 1
Pt1 0.0000 0.0000 0.2500 1
Pt2 0.3333 0.6667 0.1181 1
Au1 0.0000 0.0000 0.0000 1

Entry 4:
# BPt3Au PBE relaxed
# Crystal system   monoclinic
# Energy relative to the elements   0.10 eV/atom
# Energy above the lowest structure with this stoichiometry   0.2917 eV/atom
# V   17.04 Å³ per atom
# Magnetization   0.000 μB per cell
data_BPt3Au
_chemical_formula_sum 'B8 Pt24 Au8'
_cell_length_a 9.118
_cell_length_b 9.820
_cell_length_c 8.186
_cell_angle_alpha 90.00
_cell_angle_beta 111.58
_cell_angle_gamma 90.00
_space_group_name_H-M_alt 'C 1 2/c 1'
_space_group_IT_number 15
loop_
_space_group_symop_operation_xyz
'x,y,z'
'-x,-y,-z'
'-x,y,-z+1/2'
'x,-y,z+1/2'
'x+1/2,y+1/2,z'
'-x+1/2,-y+1/2,-z'
'-x+1/2,y+1/2,-z+1/2'
'x+1/2,-y+1/2,z+1/2'
loop_
_atom_site_label
_atom_site_fract_x
_atom_site_fract_y
_atom_site_fract_z
_atom_site_occupancy
B1 0.194 0.101 0.320 1
Pt1 0.005 0.133 0.087 1
Pt2 0.071 0.372 0.623 1
Pt3 0.238 0.462 0.973 1
Au1 0.000 0.133 0.750 1
Au2 0.000 0.375 0.250 1

Entry 5:
# BPt3Au PBE relaxed
# Crystal system   orthorhombic
# Energy relative to the elements   0.41 eV/atom
# Energy above the lowest structure with this stoichiometry   0.6047 eV/atom
# V   21.89 Å³ per atom
# Magnetization   0.000 μB per cell
data_BPt3Au
_chemical_formula_sum 'B4 Pt12 Au4'
_cell_length_a 6.661
_cell_length_b 12.824
_cell_length_c 5.124
_cell_angle_alpha 90.00
_cell_angle_beta 90.00
_cell_angle_gamma 90.00
_space_group_name_H-M_alt 'C m c m'
_space_group_IT_number 63
_space_group_name_Hall '-C 2c 2'
loop_
_atom_site_label
_atom_site_fract_x
_atom_site_fract_y
_atom_site_fract_z
_atom_site_occupancy
B1 0.000 0.139 0.250 1
Pt1 0.000 0.500 0.000 1
Pt2 0.214 0.353 0.750 1
Au1 0.000 0.309 0.250 1

Entry 6:
# BPtAu PBE relaxed
# Crystal system   trigonal
# Energy relative to the elements   0.07 eV/atom
# V   14.29 Å³ per atom
# Magnetization   0.000 μB per cell
data_BPtAu
_chemical_formula_sum 'B1 Pt1 Au1'
_cell_length_a 3.4372
_cell_length_b 3.4372
_cell_length_c 4.1892
_cell_angle_alpha 90.00
_cell_angle_beta 90.00
_cell_angle_gamma 120.00
_space_group_name_H-M_alt 'P 3 m 1'
_space_group_IT_number 156
loop_
_space_group_symop_operation_xyz
'x,y,z'
'-y,x-y,z'
'-x+y,-x,z'
'-y,-x,z'
'-x+y,y,z'
'x,x-y,z'
loop_
_atom_site_label
_atom_site_fract_x
_atom_site_fract_y
_atom_site_fract_z
_atom_site_occupancy
B1 0.0000 0.0000 0.0000 1
Pt1 0.3333 0.6667 0.8330 1
Au1 0.6667 0.3333 0.3508 1

Entry 7:
# BPt3Au PBE relaxed
# Crystal system   tetragonal
# Energy relative to the elements   0.81 eV/atom
# Energy above the lowest structure with this stoichiometry   1.0062 eV/atom
# V   21.85 Å³ per atom
# Magnetization   0.000 μB per cell
data_BPt3Au
_chemical_formula_sum 'B4 Pt12 Au4'
_cell_length_a 4.732
_cell_length_b 4.732
_cell_length_c 19.516
_cell_angle_alpha 90.00
_cell_angle_beta 90.00
_cell_angle_gamma 90.00
_space_group_name_H-M_alt 'I -4 m 2'
_space_group_IT_number 119
_space_group_name_Hall 'I -4 -2'
loop_
_atom_site_label
_atom_site_fract_x
_atom_site_fract_y
_atom_site_fract_z
_atom_site_occupancy
B1 0.000 0.000 0.124 1
Pt1 0.000 0.253 0.375 1
Pt2 0.000 0.500 0.620 1
Au1 0.000 0.000 0.500 1
Au2 0.000 0.500 0.250 1

Entry 8:
# BPt3Au PBE relaxed
# Crystal system   cubic
# Energy relative to the elements   2.28 eV/atom
# Energy above the lowest structure with this stoichiometry   2.4752 eV/atom
# V   24.72 Å³ per atom
# Magnetization   0.000 μB per cell
data_BPt3Au
_chemical_formula_sum 'B1 Pt3 Au1'
_cell_length_a 4.982
_cell_length_b 4.982
_cell_length_c 4.982
_cell_angle_alpha 90.00
_cell_angle_beta 90.00
_cell_angle_gamma 90.00
_space_group_name_H-M_alt 'P m -3 m'
_space_group_IT_number 221
_space_group_name_Hall '-P 4 2 3'
loop_
_atom_site_label
_atom_site_fract_x
_atom_site_fract_y
_atom_site_fract_z
_atom_site_occupancy
B1 0.000 0.000 0.000 1
Pt1 0.000 0.500 0.500 1
Au1 0.500 0.500 0.500 1

Entry 9:
# BPt3Au PBE relaxed
# Crystal system   monoclinic
# Energy relative to the elements   -0.19 eV/atom
# Energy above the lowest structure with this stoichiometry   0.0000 eV/atom
# V   14.93 Å³ per atom
# Magnetization   0.000 μB per cell
data_BPt3Au
_chemical_formula_sum 'B4 Pt12 Au4'
_cell_length_a 9.839
_cell_length_b 5.712
_cell_length_c 5.572
_cell_angle_alpha 90.00
_cell_angle_beta 107.49
_cell_angle_gamma 90.00
_space_group_name_H-M_alt 'C 1 2/m 1'
_space_group_IT_number 12
loop_
_space_group_symop_operation_xyz
'x,y,z'
'-x,-y,-z'
'-x,y,-z'
'x,-y,z'
'x+1/2,y+1/2,z'
'-x+1/2,-y+1/2,-z'
'-x+1/2,y+1/2,-z'
'x+1/2,-y+1/2,z'
loop_
_atom_site_label
_atom_site_fract_x
_atom_site_fract_y
_atom_site_fract_z
_atom_site_occupancy
B1 0.168 0.000 0.001 1
Pt1 0.045 0.000 0.268 1
Pt2 0.206 0.248 0.731 1
Au1 0.045 0.500 0.268 1

Entry 10:
# BPt3Au PBE relaxed
# Crystal system   hexagonal
# Energy relative to the elements   0.23 eV/atom
# Energy above the lowest structure with this stoichiometry   0.4214 eV/atom
# V   14.74 Å³ per atom
# Magnetization   0.000 μB per cell
data_BPt3Au
_chemical_formula_sum 'B2 Pt6 Au2'
_cell_length_a 4.4745
_cell_length_b 4.4745
_cell_length_c 8.5004
_cell_angle_alpha 90.00
_cell_angle_beta 90.00
_cell_angle_gamma 120.00
_space_group_name_H-M_alt 'P 63/m m c'
_space_group_IT_number 194
_space_group_name_Hall '-P 6c 2c'
loop_
_atom_site_label
_atom_site_fract_x
_atom_site_fract_y
_atom_site_fract_z
_atom_site_occupancy
B1 0.0000 0.0000 0.0000 1
Pt1 0.0000 0.0000 0.2500 1
Pt2 0.3333 0.6667 0.0734 1
Au1 0.3333 0.6667 0.7500 1

Entry 11:
# BPt3Au PBE relaxed
# Crystal system   monoclinic
# Energy relative to the elements   -0.11 eV/atom
# Energy above the lowest structure with this stoichiometry   0.0825 eV/atom
# V   14.75 Å³ per atom
# Magnetization   0.000 μB per cell
data_BPt3Au
_chemical_formula_sum 'B8 Pt24 Au8'
_cell_length_a 10.192
_cell_length_b 11.621
_cell_length_c 4.981
_cell_angle_alpha 90.00
_cell_angle_beta 90.90
_cell_angle_gamma 90.00
_space_group_name_H-M_alt 'C 1 2/c 1'
_space_group_IT_number 15
loop_
_space_group_symop_operation_xyz
'x,y,z'
'-x,-y,-z'
'-x,y,-z+1/2'
'x,-y,z+1/2'
'x+1/2,y+1/2,z'
'-x+1/2,-y+1/2,-z'
'-x+1/2,y+1/2,-z+1/2'
'x+1/2,-y+1/2,z+1/2'
loop_
_atom_site_label
_atom_site_fract_x
_atom_site_fract_y
_atom_site_fract_z
_atom_site_occupancy
B1 0.000 0.070 0.250 1
B2 0.000 0.202 0.750 1
Pt1 0.131 0.315 0.573 1
Pt2 0.133 0.064 0.598 1
Pt3 0.133 0.192 0.092 1
Au1 0.122 0.437 0.070 1

Entry 12:
# BPt3Au PBE relaxed
# Crystal system   triclinic
# Energy relative to the elements   -0.15 eV/atom
# Energy above the lowest structure with this stoichiometry   0.0385 eV/atom
# V   14.96 Å³ per atom
# Magnetization   0.000 μB per cell
data_BPt3Au
_chemical_formula_sum 'B2 Pt6 Au2'
_cell_length_a 5.616
_cell_length_b 5.639
_cell_length_c 5.660
_cell_angle_alpha 81.97
_cell_angle_beta 60.37
_cell_angle_gamma 73.74
_space_group_name_H-M_alt 'P 1'
_space_group_IT_number 1
loop_
_space_group_symop_operation_xyz
'x,y,z'
loop_
_atom_site_label
_atom_site_fract_x
_atom_site_fract_y
_atom_site_fract_z
_atom_site_occupancy
B1 0.000 0.000 0.000 1
B2 0.331 0.000 0.339 1
Pt1 0.094 0.266 0.166 1
Pt2 0.237 0.734 0.172 1
Pt3 0.423 0.987 0.669 1
Pt4 0.591 0.266 0.172 1
Pt5 0.740 0.734 0.167 1
Pt6 0.908 0.013 0.669 1
Au1 0.427 0.483 0.669 1
Au2 0.912 0.515 0.669 1

Please write out number 10 again, unchanged.
# BPt3Au PBE relaxed
# Crystal system   hexagonal
# Energy relative to the elements   0.23 eV/atom
# Energy above the lowest structure with this stoichiometry   0.4214 eV/atom
# V   14.74 Å³ per atom
# Magnetization   0.000 μB per cell
data_BPt3Au
_chemical_formula_sum 'B2 Pt6 Au2'
_cell_length_a 4.4745
_cell_length_b 4.4745
_cell_length_c 8.5004
_cell_angle_alpha 90.00
_cell_angle_beta 90.00
_cell_angle_gamma 120.00
_space_group_name_H-M_alt 'P 63/m m c'
_space_group_IT_number 194
_space_group_name_Hall '-P 6c 2c'
loop_
_atom_site_label
_atom_site_fract_x
_atom_site_fract_y
_atom_site_fract_z
_atom_site_occupancy
B1 0.0000 0.0000 0.0000 1
Pt1 0.0000 0.0000 0.2500 1
Pt2 0.3333 0.6667 0.0734 1
Au1 0.3333 0.6667 0.7500 1